1.
# NpZnCu, relaxed, DFT GGA-PBE
# Energy of formation from the pure elements (eV per atom): 0.22
# Raw total energy (eV/atom): -5.883
data_NpZnCu
_space_group_name_H-M_alt 'C 1 2/m 1'
_space_group_IT_number 12
_space_group_name_Hall '-C 2y'
_cell_length_a 6.820
_cell_length_b 3.563
_cell_length_c 9.068
_cell_angle_alpha 90.00
_cell_angle_beta 106.49
_cell_angle_gamma 90.00
loop_
_atom_site_label
_atom_site_fract_x
_atom_site_fract_y
_atom_site_fract_z
Np1 0.138 0.000 0.434
Zn1 0.236 0.500 0.207
Cu1 0.127 0.500 0.917



2.
# LaTl3Br7, relaxed, DFT GGA-PBE
# Energy relative to the elements, uncorrected (eV per atom): -1.15
# Raw total energy (eV/atom): -3.303
data_LaTl3Br7
_space_group_name_H-M_alt 'C 1 m 1'
_space_group_IT_number 8
_space_group_name_Hall 'C -2y'
_cell_length_a 12.014
_cell_length_b 11.036
_cell_length_c 8.690
_cell_angle_alpha 90.00
_cell_angle_beta 131.45
_cell_angle_gamma 90.00
loop_
_atom_site_label
_atom_site_fract_x
_atom_site_fract_y
_atom_site_fract_z
La1 0.000 0.000 0.000
Tl1 0.065 0.219 0.566
Tl2 0.071 0.500 0.142
Br1 0.182 0.500 0.613
Br2 0.200 0.195 0.323
Br3 0.203 0.000 0.915
Br4 0.374 0.500 0.201
Br5 0.445 0.240 0.831